# 1
A relaxed structure of BaUV2O8. Source: Alexandria via LeMat-Bulk, functional PBE+U.

Output
M_tot: 2.0 μB per cell
total DFT energy (no corrections): -8.1443 eV/atom

abc: 5.8127 5.8127 7.5675
angles: 90.00 90.00 120.00
Each line ends with the local moment (μB).
Atoms (fractional coordinates):
Ba1 0.0000 0.0000 0.0000  0.00
U1 0.0000 0.0000 0.5000  1.63
V1 0.6667 0.3333 0.2372  0.28
V2 0.3333 0.6667 0.7628  0.28
O1 0.3333 0.6667 0.9842  -0.03
O2 0.3308 0.1699 0.3124  -0.04
O3 0.8301 0.1609 0.3124  -0.04
O4 0.6667 0.3333 0.0158  -0.03
O5 0.1699 0.8391 0.6876  -0.04
O6 0.6692 0.8301 0.6876  -0.04
O7 0.1609 0.3308 0.6876  -0.04
O8 0.8391 0.6692 0.3124  -0.04

***

# 2
A relaxed structure of BaUVO6. Source: Alexandria via LeMat-Bulk, functional PBE+U.

Output
M_tot: 1.0 μB per cell
total DFT energy (no corrections): -8.3894 eV/atom

abc: 5.4834 5.4831 5.7354
angles: 90.00 89.99 60.00
Each line ends with the local moment (μB).
Atoms (fractional coordinates):
Ba1 0.0000 0.0000 0.0000  0.00
U1 0.3333 0.3334 0.5000  0.09
V1 0.6666 0.6667 0.5000  0.99
O1 0.9848 0.3889 0.3092  -0.02
O2 0.3888 0.9849 0.6908  -0.02
O3 0.6263 0.3889 0.6908  -0.02
O4 0.9848 0.6263 0.6908  -0.02
O5 0.3888 0.6263 0.3092  -0.02
O6 0.6263 0.9848 0.3092  -0.02